VASP calculation (PBE-GGA) on crystalline KSnB at its relaxed geometry.

Values from the calculation:
Calculated total energy, eV/atom: -3.685
Fermi-level density of states, states/eV/f.u.: 0.1

Cell lengths 3.9107, 6.6286, 6.7539 Å; angles 79.49, 82.92, 89.99 degrees
Closest atoms and distances in Å follow each position.
Space group P-1 (No. 2)
Inequivalent atoms, fractional coordinates:
K (0.0533, 0.3096, 0.2896)  2 B 3.18-3.23
Sn (0.4309, 0.1941, 0.7694)  2 B 2.26-2.39
B (0.1240, 0.9282, 0.0636)  1 B 1.58

VASP calculation (PBE-GGA) on crystalline Hg12Te5F3 at its relaxed geometry.

Values from the calculation:
Fermi-level density of states, states/eV/f.u.: 12.3
Formation energy from raw total energies, eV per atom: -0.267

Cell lengths 17.1615, 17.1615, 17.1615 Å; angles 90.00, 90.00, 90.00 degrees
Closest atoms and distances in Å follow each position.
Space group Ia-3d (No. 230)
Inequivalent atoms, fractional coordinates:
Hg (0.0085, 0.0627, 0.1655)  1 F 2.69, 1 Hg 2.82, 1 Te 2.92
Te (0.0000, 0.0000, 0.0000)  6 Hg 3.04
Te (0.0000, 0.2500, 0.3750)  4 Hg 2.92
F (0.0000, 0.2500, 0.1250)  4 Hg 2.69

VASP calculation (PBE-GGA) on crystalline La4PrNd2Sc at its relaxed geometry.

Values from the calculation:
Calculated total energy, eV/atom: -5.106
Fermi-level density of states, states/eV/f.u.: 14.3

Cell lengths 6.1665, 6.1704, 7.4798 Å; angles 90.00, 90.00, 90.00 degrees
Closest atoms and distances in Å follow each position.
Space group Pmmm (No. 47)
Inequivalent atoms, fractional coordinates:
La (0.0000, 0.0000, 0.2311)  1 La 3.46, 4 Nd 3.53-3.68, 2 Sc 3.54, 2 Pr 3.68
La (0.5000, 0.5000, 0.2350)  1 La 3.52, 2 Sc 3.55, 4 Nd 3.55-3.67, 2 Pr 3.67
Pr (0.5000, 0.0000, 0.5000)  8 La 3.67-3.68, 2 Nd 3.74
Nd (0.0000, 0.5000, 0.5000)  8 La 3.67-3.68, 2 Sc 3.74
Nd (0.5000, 0.0000, 0.0000)  8 La 3.53-3.55, 2 Pr 3.74
Sc (0.0000, 0.5000, 0.0000)  8 La 3.54-3.55, 2 Nd 3.74

VASP calculation (PBE-GGA) on crystalline BaNbGa2 at its relaxed geometry.

Values from the calculation:
Calculated total energy, eV/atom: -4.203
Fermi-level density of states, states/eV/f.u.: 4.1

Cell lengths 5.2765, 5.2765, 18.4100 Å; angles 90.00, 90.00, 90.00 degrees
Closest atoms and distances in Å follow each position.
Space group I4_1/amd (No. 141, origin choice 2)
Inequivalent atoms, fractional coordinates:
Ba (0.0000, 0.2500, 0.3750)  4 Nb 3.73, 8 Ga 3.74
Nb (0.0000, 0.2500, 0.8750)  4 Ga 2.65
Ga (0.0000, 0.0000, 0.0000)  2 Ga 2.64, 2 Nb 2.65

VASP calculation (PBE-GGA) on crystalline MgTaHg2 at its relaxed geometry.

Values from the calculation:
Calculated total energy, eV/atom: -3.266
Fermi-level density of states, states/eV/f.u.: 3.3

Cell lengths 11.2069, 2.9583, 5.3166 Å; angles 90.00, 113.55, 90.00 degrees
Closest atoms and distances in Å follow each position.
Space group Cm (No. 8)
Inequivalent atoms, fractional coordinates:
Mg (0.0000, 0.0000, 0.0000)  7 Hg 2.93-3.11, 2 Mg 2.96, 3 Ta 3.14-3.24
Ta (0.2438, 0.5000, 0.4292)  2 Ta 2.96, 7 Hg 2.98-3.08, 3 Mg 3.14-3.24
Hg (0.2443, 0.0000, 0.9213)  3 Mg 2.93-3.10, 5 Hg 2.96-3.26, 4 Ta 3.00-3.08
Hg (0.4874, 0.0000, 0.4752)  5 Hg 2.96-3.26, 4 Mg 2.98-3.11, 3 Ta 2.98-3.03

VASP calculation (PBE-GGA) on crystalline KBe2P at its relaxed geometry.

Values from the calculation:
Calculated total energy, eV/atom: -2.524
Fermi-level density of states, states/eV/f.u.: 0.9

Cell lengths 5.8456, 10.2936, 2.5471 Å; angles 90.00, 115.63, 90.00 degrees
Closest atoms and distances in Å follow each position.
Space group C2/m (No. 12)
Inequivalent atoms, fractional coordinates:
K (0.0000, 0.0000, 0.0000)  2 K 2.55
Be (0.2500, 0.2500, 0.0000)  2 Be 2.55
P (0.0000, 0.5000, 0.0000)  2 P 2.55

VASP calculation (PBE-GGA) on crystalline CdGaAuF6 at its relaxed geometry.

Values from the calculation:
Fermi-level density of states, states/eV/f.u.: 0.4
Formation energy from raw total energies, eV per atom: -1.919

Cell lengths 5.7175, 5.7175, 9.9165 Å; angles 90.00, 90.00, 120.00 degrees
Closest atoms and distances in Å follow each position.
Space group P-31c (No. 163)
Inequivalent atoms, fractional coordinates:
Cd (0.3333, 0.6667, 0.2500)  6 F 2.28
Ga (0.3333, 0.6667, 0.7500)  6 F 1.93
Au (0.0000, 0.0000, 0.0000)  6 F 2.56
F (0.0443, 0.3943, 0.6414)  1 Ga 1.93

VASP calculation (PBE-GGA) on crystalline Cs2LiIrCl6 at its relaxed geometry.

Values from the calculation:
Formation energy from raw total energies, eV per atom: -1.348

Cell lengths 7.5869, 9.3718, 7.9813 Å; angles 90.00, 90.00, 90.00 degrees
Closest atoms and distances in Å follow each position.
Space group Pmmn (No. 59, origin choice 2)
Inequivalent atoms, fractional coordinates:
Cs (0.2500, 0.0076, 0.2280)  11 Cl 3.52-3.84
Li (0.2500, 0.7500, 0.6202)  4 Cl 2.40-2.51
Ir (0.2500, 0.2500, 0.7389)  6 Cl 2.35-2.41
Cl (0.0278, 0.2500, 0.5227)  1 Li 2.40, 1 Ir 2.41
Cl (0.0320, 0.2500, 0.9488)  1 Ir 2.35
Cl (0.2500, 0.5053, 0.7468)  1 Ir 2.39, 1 Li 2.51

Listing total magnetic moment for the structures above in their given order: 0.00; 0.00; 0.00; 2.73; 0.00; 0.00; 0.00; 0.00 μB/f.u..